(1)
! PBE-GGA La2ThSb3, relaxed; values from VASP
! Excess energy over the best structure of this formula in the dataset (meV per atom): 3
! ΔE_f (raw) (eV/atom): -1.174
! D(E_F) (states/eV per atom): 0.4093
! Total magnetization (μB/cell): 0.00
&SYSTEM
  ibrav = 0, nat = 6, ntyp = 3
/
ATOMIC_SPECIES
La 138.91 La.upf
Th 232.04 Th.upf
Sb 121.76 Sb.upf
CELL_PARAMETERS angstrom
-1.288 -1.037 -4.272
-3.635 -4.855 2.274
-2.885 7.219 1.575
ATOMIC_POSITIONS angstrom
La -4.572 -3.715 -1.404
La -3.237 5.043 0.981
Th -3.904 0.664 -0.212
Sb -2.813 -1.242 -2.535
Sb -4.996 2.569 2.111
Sb -2.087 3.091 -1.349

=====

(2)
! PBE-GGA LaThSb2, relaxed; values from VASP
! Excess energy over the best structure of this formula in the dataset (meV per atom): 0
! ΔE_f (raw) (eV/atom): -1.109
! D(E_F) (states/eV per atom): 0.5490
! Total magnetization (μB/cell): 0.00
&SYSTEM
  ibrav = 0, nat = 4, ntyp = 3
/
ATOMIC_SPECIES
Sb 121.76 Sb.upf
Th 232.04 Th.upf
La 138.91 La.upf
CELL_PARAMETERS angstrom
4.556 0.000 0.000
2.278 3.945 0.000
2.278 1.315 7.468
ATOMIC_POSITIONS angstrom
Sb 2.278 1.315 1.818
Sb 6.833 3.945 5.650
Th 0.000 0.000 0.000
La 4.556 2.630 3.734

=====

(3)
! PBE-GGA La4ThSb5, relaxed; values from VASP
! Excess energy over the best structure of this formula in the dataset (meV per atom): 9
! ΔE_f (raw) (eV/atom): -1.214
! D(E_F) (states/eV per atom): 0.2656
! Total magnetization (μB/cell): 0.00
&SYSTEM
  ibrav = 0, nat = 10, ntyp = 3
/
ATOMIC_SPECIES
La 138.91 La.upf
Th 232.04 Th.upf
Sb 121.76 Sb.upf
CELL_PARAMETERS angstrom
4.598 0.000 0.000
0.000 4.598 0.000
-2.299 -2.299 16.260
ATOMIC_POSITIONS angstrom
La 0.000 0.000 12.989
La 2.299 2.299 9.760
La 0.000 0.000 6.500
La 2.299 2.299 3.272
Th 0.000 0.000 0.000
Sb 0.000 0.000 3.185
Sb 2.299 2.299 0.000
Sb 2.299 2.299 13.075
Sb 0.000 0.000 9.762
Sb 2.299 2.299 6.498

=====

(4)
! PBE-GGA La5ThSb6, relaxed; values from VASP
! ΔE_f (raw) (eV/atom): -1.236
! D(E_F) (states/eV per atom): 0.2718
! Total magnetization (μB/cell): 0.00
&SYSTEM
  ibrav = 0, nat = 12, ntyp = 3
/
ATOMIC_SPECIES
La 138.91 La.upf
Th 232.04 Th.upf
Sb 121.76 Sb.upf
CELL_PARAMETERS angstrom
-3.619 -2.330 -6.713
4.762 -4.999 -3.987
-0.414 -7.841 1.367
ATOMIC_POSITIONS angstrom
La -1.283 -7.209 -3.120
La 1.452 -4.274 -0.877
La 0.571 -3.665 -5.350
La 2.896 -8.566 -1.743
La 2.012 -7.961 -6.213
Th 0.000 0.000 0.000
Sb -2.471 -4.741 -4.934
Sb 1.778 -6.097 -3.558
Sb 0.272 -1.804 -2.641
Sb 0.870 -5.525 -8.058
Sb -1.049 -9.073 -5.774
Sb 3.200 -10.430 -4.398

=====

(5)
! PBE-GGA La2ThSb3, relaxed; values from VASP
! Excess energy over the best structure of this formula in the dataset (meV per atom): 0
! ΔE_f (raw) (eV/atom): -1.177
! D(E_F) (states/eV per atom): 0.3157
! Total magnetization (μB/cell): 0.00
&SYSTEM
  ibrav = 0, nat = 24, ntyp = 3
/
ATOMIC_SPECIES
La 138.91 La.upf
Th 232.04 Th.upf
Sb 121.76 Sb.upf
CELL_PARAMETERS angstrom
7.800 0.032 -1.443
-2.988 7.206 -1.443
-0.006 -0.010 14.497
ATOMIC_POSITIONS angstrom
La 6.296 3.619 12.310
La 2.003 3.013 10.898
La 5.497 2.417 7.961
La 1.204 1.811 6.549
La 3.602 5.417 5.061
La 4.704 1.225 3.649
La 2.803 4.215 0.713
La 3.904 0.022 -0.699
Th 4.405 6.625 9.431
Th 0.107 6.010 7.985
Th -0.695 4.805 3.626
Th 0.401 0.603 2.180
Sb -0.718 4.834 10.844
Sb 4.708 1.167 10.860
Sb 0.417 0.563 9.458
Sb 2.792 4.263 7.998
Sb -1.468 3.642 6.509
Sb 0.880 7.173 5.101
Sb 1.955 3.004 3.612
Sb 4.448 6.625 2.153
Sb 5.551 2.435 0.750
Sb 0.071 6.020 0.767
Sb 1.174 1.766 -0.704
Sb 3.639 5.472 -2.182

=====

(6)
! PBE-GGA La2Th2Sb5, relaxed; values from VASP
! ΔE_f (raw) (eV/atom): -0.991
! D(E_F) (states/eV per atom): 0.5955
! Total magnetization (μB/cell): 0.00
&SYSTEM
  ibrav = 0, nat = 18, ntyp = 3
/
ATOMIC_SPECIES
La 138.91 La.upf
Th 232.04 Th.upf
Sb 121.76 Sb.upf
CELL_PARAMETERS angstrom
-3.907 3.034 -6.891
0.566 -8.178 -3.922
-6.943 2.783 5.161
ATOMIC_POSITIONS angstrom
La -0.904 -6.031 -2.143
La -6.612 0.967 -1.047
La -5.472 0.636 3.382
La -3.671 -3.327 -4.605
Th -2.325 0.220 -2.187
Th -7.958 -2.580 -3.465
Th -5.511 0.693 -5.393
Th -4.771 -3.054 -0.259
Sb 0.000 0.000 0.000
Sb -5.141 -1.180 -2.826
Sb -3.820 0.049 0.625
Sb -8.486 0.544 -3.830
Sb -4.513 2.632 -3.066
Sb -7.793 -2.040 -0.139
Sb -6.462 -2.409 -6.277
Sb -1.797 -2.905 -1.822
Sb -5.770 -4.993 -2.587
Sb -2.490 -0.321 -5.513

=====

(7)
! PBE-GGA La2ThSb, relaxed; values from VASP
! Excess energy over the best structure of this formula in the dataset (meV per atom): 11
! ΔE_f (raw) (eV/atom): -0.504
! D(E_F) (states/eV per atom): 0.8914
! Total magnetization (μB/cell): 0.00
&SYSTEM
  ibrav = 0, nat = 4, ntyp = 3
/
ATOMIC_SPECIES
Sb 121.76 Sb.upf
Th 232.04 Th.upf
La 138.91 La.upf
CELL_PARAMETERS angstrom
4.067 0.000 0.000
0.000 4.067 0.000
0.000 0.000 7.803
ATOMIC_POSITIONS angstrom
Sb 2.033 2.033 0.000
Th 2.033 2.033 3.901
La 0.000 0.000 6.103
La 0.000 0.000 1.700

=====

(8)
! PBE-GGA LaThSb2, relaxed; values from VASP
! Excess energy over the best structure of this formula in the dataset (meV per atom): 201
! ΔE_f (raw) (eV/atom): -0.909
! D(E_F) (states/eV per atom): 0.9947
! Total magnetization (μB/cell): 0.00
&SYSTEM
  ibrav = 0, nat = 4, ntyp = 3
/
ATOMIC_SPECIES
Sb 121.76 Sb.upf
Th 232.04 Th.upf
La 138.91 La.upf
CELL_PARAMETERS angstrom
3.897 0.000 0.000
0.000 3.897 0.000
0.000 0.000 7.876
ATOMIC_POSITIONS angstrom
Sb 0.000 0.000 5.973
Sb 0.000 0.000 1.903
Th 1.949 1.949 0.000
La 1.949 1.949 3.938